Record 1
CaMgCo | GGA-PBE | relaxed

Computed properties:
ΔE_f (eV/atom): 0.431
Spin magnetization (Bohr magnetons per cell): 0.73
Raw total energy (eV for the cell shown): -9.4
V (Å³/atom): 22.03

Unit cell a=3.363 b=3.363 c=6.746 alpha=90.00 beta=90.00 gamma=120.00
Last column: magnetic moment on the atom in μB.
Fractional positions:
1 Mg 0.667 0.333 0.607  -0.01
2 Co 0.333 0.667 0.346  1.11
3 Ca 0.000 0.000 0.047  -0.10

---

Record 2
Ca2MgCo | GGA-PBE | relaxed

Computed properties:
ΔE_f (eV/atom): 0.338
Spin magnetization (Bohr magnetons per cell): 0.72
Raw total energy (eV for the cell shown): -11.4
V (Å³/atom): 27.44

Unit cell a=9.911 b=9.911 c=9.911 alpha=21.03 beta=21.03 gamma=21.03
Last column: magnetic moment on the atom in μB.
Fractional positions:
1 Ca 0.019 0.019 0.019  -0.06
2 Ca 0.481 0.481 0.481  -0.06
3 Co 0.750 0.750 0.750  1.21
4 Mg 0.250 0.250 0.250  -0.01